SrMn2PAu: optimized geometry, PBE-GGA.

Results
Energy of formation from the pure elements in eV per atom: 0.428
Calculated total energy in eV per atom: -5.3132
M_tot in μB per formula unit: 8.88

Geometry as CIF:
```
data_SrMn2PAu
_cell_length_a 4.983
_cell_length_b 4.983
_cell_length_c 5.082
_cell_angle_alpha 90.00
_cell_angle_beta 90.00
_cell_angle_gamma 90.00
_symmetry_space_group_name_H-M 'P 4/m m m'
_symmetry_Int_Tables_number 123
_symmetry_space_group_name_Hall '-P 4 2'
loop_
_atom_site_label
_atom_site_type_symbol
_atom_site_fract_x
_atom_site_fract_y
_atom_site_fract_z
_atom_site_occupancy
Sr1 Sr 0.000 0.000 0.000 1
Mn1 Mn 0.000 0.500 0.500 1
P1 P 0.500 0.500 0.000 1
Au1 Au 0.500 0.500 0.500 1
```